DFT (PBE) results for a geometry-optimized CdH3Pt2 structure.

Cell: 5.5595 7.6113 5.4746 Å, 134.34 104.49 92.11°
With the nearest neighbours (Å) after each atom.
Fractional positions:
Cd 0.6528 0.6765 0.9446  1 H 2.52, 1 Pt 2.79
Cd 0.3472 0.3235 0.0554  1 H 2.52, 1 Pt 2.79
H 0.2343 0.8979 0.0679  2 Pt 1.70-1.78
H 0.9338 0.6451 0.4750  2 Pt 1.72-1.76
H 0.6712 0.1193 0.5323  2 Pt 1.74-1.78
H 0.3288 0.8807 0.4677  2 Pt 1.74-1.78
H 0.0662 0.3549 0.5250  2 Pt 1.72-1.76
H 0.7657 0.1021 0.9321  2 Pt 1.70-1.78
Pt 0.2697 0.8099 0.6994  3 H 1.70-1.78
Pt 0.7303 0.1900 0.3006  3 H 1.70-1.78
Pt 0.8397 0.3708 0.0092  3 H 1.72-1.78
Pt 0.1603 0.6292 0.9908  3 H 1.72-1.78

## Properties
**Electronic total energy**: -0.28884 Ry/atom
**N(E_F)**: 2.246 states/eV per cell
**Crystal system**: triclinic
**Space group**: P-1
**Total magnetic moment**: 0.00 μB per formula unit